1.
BiH | PBE | optimized geometry

Cell: 3.3411 5.6448 5.4379 Å, 58.91 89.68 90.00°
Atoms (fractional coordinates):
1 Bi 0.4998 0.1697 0.1614
2 Bi 0.5002 0.8303 0.8386
3 H 0.0252 0.5189 0.4238
4 H 0.9748 0.4811 0.5762

The calculation puts the density of states at the Fermi level at 0.4 states/eV per cell. The calculation puts the total magnetization at 0.000 μB/f.u. The calculation puts the final energy at -3.552 eV per atom. The distance to the lowest polymorph of the same formula is 0.020 eV per atom. The space-group type is P-1.

---

2.
BiH2 | PBE | optimized geometry

Cell: 4.1900 6.6355 4.6443 Å, 109.26 90.00 108.41°
Atoms (fractional coordinates):
1 H 0.5188 0.0377 0.8685
2 H 0.0152 0.0303 0.5047
3 H 0.2626 0.5252 0.5508
4 H 0.7589 0.5179 0.1871
5 Bi 0.0103 0.0205 0.8990
6 Bi 0.2675 0.5350 0.1566

The calculation puts the density of states at the Fermi level at 0.9 states/eV per cell. The calculation puts the total magnetization at 0.000 μB/f.u. The calculation puts the final energy at -3.133 eV per atom. The space-group type is C2/m.

---

3.
BiH | PBE | optimized geometry

Cell: 6.5957 6.5289 8.7394 Å, 90.00 90.00 90.00°
Atoms (fractional coordinates):
1 Bi 0.6639 0.5135 0.1062
2 Bi 0.7846 0.9747 0.0975
3 Bi 0.7154 0.0253 0.5975
4 Bi 0.2846 0.5253 0.9025
5 Bi 0.3361 0.0135 0.3938
6 Bi 0.1639 0.9865 0.8938
7 Bi 0.8361 0.4865 0.6062
8 Bi 0.2154 0.4747 0.4025
9 H 0.8103 0.4673 0.9283
10 H 0.0584 0.4450 0.2266
11 H 0.1897 0.9673 0.5717
12 H 0.5584 0.0550 0.7734
13 H 0.9416 0.9450 0.2734
14 H 0.3103 0.0327 0.0717
15 H 0.4416 0.5550 0.7266
16 H 0.6897 0.5327 0.4283

The calculation puts the density of states at the Fermi level at 0.0 states/eV per cell. The calculation puts the total magnetization at 0.000 μB/f.u. The calculation puts the final energy at -3.324 eV per atom. The distance to the lowest polymorph of the same formula is 0.248 eV per atom. The space-group type is P2_12_12_1.

---

4.
BiH | PBE | optimized geometry

Cell: 7.1238 7.1238 3.3193 Å, 90.00 90.00 90.00°
Atoms (fractional coordinates):
1 Bi 0.8268 0.1732 0.5000
2 Bi 0.3268 0.3268 0.0000
3 Bi 0.6732 0.6732 0.0000
4 Bi 0.1732 0.8268 0.5000
5 H 0.3830 0.6170 0.0000
6 H 0.8830 0.8830 0.5000
7 H 0.1170 0.1170 0.5000
8 H 0.6170 0.3830 0.0000

The calculation puts the density of states at the Fermi level at 4.9 states/eV per cell. The calculation puts the total magnetization at 0.000 μB/f.u. The calculation puts the final energy at -3.084 eV per atom. The distance to the lowest polymorph of the same formula is 0.488 eV per atom. The space-group type is P4_2/mnm.

---

5.
BiH | PBE | optimized geometry

Cell: 7.2608 7.2608 5.1354 Å, 90.00 90.00 120.00°
Atoms (fractional coordinates):
1 Bi 0.0764 0.3380 0.2500
2 Bi 0.7383 0.0764 0.7500
3 Bi 0.2617 0.9236 0.2500
4 Bi 0.9236 0.6620 0.7500
5 Bi 0.3380 0.2617 0.7500
6 Bi 0.6620 0.7383 0.2500
7 H 0.9111 0.4777 0.2500
8 H 0.0889 0.5223 0.7500
9 H 0.4777 0.5666 0.7500
10 H 0.5666 0.0889 0.2500
11 H 0.5223 0.4334 0.2500
12 H 0.4334 0.9111 0.7500

The calculation puts the density of states at the Fermi level at 3.7 states/eV per cell. The calculation puts the total magnetization at 0.000 μB/f.u. The calculation puts the final energy at -3.122 eV per atom. The distance to the lowest polymorph of the same formula is 0.450 eV per atom. The space-group type is P6_3/m.

---

6.
BiH | PBE | optimized geometry

Cell: 4.3139 4.3201 7.9356 Å, 85.91 89.28 60.08°
Atoms (fractional coordinates):
1 H 0.5290 0.4483 0.0426
2 H 0.4710 0.5517 0.9574
3 Bi 0.1727 0.1496 0.6098
4 Bi 0.8273 0.8504 0.3902

The calculation puts the density of states at the Fermi level at 0.0 states/eV per cell. The calculation puts the total magnetization at 0.000 μB/f.u. The calculation puts the final energy at -3.572 eV per atom. The distance to the lowest polymorph of the same formula is 0.000 eV per atom. The space-group type is P-1.

---

7.
BiH | PBE | optimized geometry

Cell: 3.4428 3.4428 8.6251 Å, 90.00 90.00 120.00°
Atoms (fractional coordinates):
1 H 0.3333 0.6667 0.4335
2 H 0.6667 0.3333 0.9335
3 Bi 0.3333 0.6667 0.6485
4 Bi 0.6667 0.3333 0.1485

The calculation puts the density of states at the Fermi level at 1.6 states/eV per cell. The calculation puts the total magnetization at 0.000 μB/f.u. The calculation puts the final energy at -3.317 eV per atom. The distance to the lowest polymorph of the same formula is 0.255 eV per atom. The space-group type is P6_3mc.

---

8.
BiH | PBE | optimized geometry

Cell: 4.3254 4.3257 7.9703 Å, 90.26 105.36 119.98°
Atoms (fractional coordinates):
1 Bi 0.5382 0.0203 0.6672
2 Bi 0.0546 0.2767 0.4383
3 H 0.4299 0.4674 0.9921
4 H 0.4826 0.4984 0.0913

The calculation puts the density of states at the Fermi level at 0.0 states/eV per cell. The calculation puts the total magnetization at 0.000 μB/f.u. The calculation puts the final energy at -3.571 eV per atom. The distance to the lowest polymorph of the same formula is 0.001 eV per atom. The space-group type is P1.

---

9.
BiH | PBE | optimized geometry

Cell: 6.5724 6.5526 9.0091 Å, 90.00 110.91 90.00°
Each line ends with the local moment (μB).
Atoms (fractional coordinates):
1 Bi 0.3599 0.7500 0.7124  1.74
2 Bi 0.6401 0.2500 0.2876  1.74
3 H 0.0667 0.7500 0.1372  0.38
4 H 0.9333 0.2500 0.8628  0.38

The calculation puts the total magnetization at 4.000 μB/f.u. The calculation puts the final energy at -1.219 eV per atom. The distance to the lowest polymorph of the same formula is 2.353 eV per atom. The space-group type is P2_1/m.

---

10.
BiH | PBE | optimized geometry

Cell: 5.3312 5.3312 5.3312 Å, 90.00 90.00 90.00°
Atoms (fractional coordinates):
1 Bi 0.5000 0.5000 0.0000
2 Bi 0.5000 0.0000 0.5000
3 Bi 0.0000 0.0000 0.0000
4 Bi 0.0000 0.5000 0.5000
5 H 0.2500 0.7500 0.7500
6 H 0.2500 0.2500 0.2500
7 H 0.7500 0.2500 0.7500
8 H 0.7500 0.7500 0.2500

The calculation puts the density of states at the Fermi level at 4.2 states/eV per cell. The calculation puts the total magnetization at 0.000 μB/f.u. The calculation puts the final energy at -3.001 eV per atom. The distance to the lowest polymorph of the same formula is 0.571 eV per atom. The space-group type is F-43m.

---

11.
Bi3H | PBE | optimized geometry

Cell: 4.3338 4.5729 6.6870 Å, 109.99 108.91 90.00°
Atoms (fractional coordinates):
1 H 0.0000 0.6094 0.0000
2 Bi 0.2858 0.7732 0.5716
3 Bi 0.5000 0.5826 0.0000
4 Bi 0.7142 0.2016 0.4284

The calculation puts the density of states at the Fermi level at 1.1 states/eV per cell. The calculation puts the total magnetization at 0.000 μB/f.u. The calculation puts the final energy at -3.484 eV per atom. The space-group type is Imm2.

---

12.
BiH | PBE | optimized geometry

Cell: 9.9629 9.9629 3.6220 Å, 90.00 90.00 90.00°
Atoms (fractional coordinates):
1 H 0.6662 0.8296 0.0000
2 H 0.3338 0.1704 0.0000
3 H 0.7155 0.2014 0.5000
4 H 0.1704 0.6662 0.0000
5 H 0.2845 0.7986 0.5000
6 H 0.2014 0.2845 0.5000
7 H 0.7986 0.7155 0.5000
8 H 0.8296 0.3338 0.0000
9 Bi 0.6469 0.0659 0.0000
10 Bi 0.4101 0.2506 0.5000
11 Bi 0.5899 0.7494 0.5000
12 Bi 0.7494 0.4101 0.5000
13 Bi 0.9341 0.6469 0.0000
14 Bi 0.2506 0.5899 0.5000
15 Bi 0.0659 0.3531 0.0000
16 Bi 0.3531 0.9341 0.0000

The calculation puts the density of states at the Fermi level at 2.5 states/eV per cell. The calculation puts the total magnetization at 0.000 μB/f.u. The calculation puts the final energy at -3.077 eV per atom. The distance to the lowest polymorph of the same formula is 0.495 eV per atom. The space-group type is P4/m.